A plane-wave DFT calculation with PBE-GGA was carried out for Nd3Y3Ga after structural relaxation.

* M_tot: 0.133 μB per formula unit
* symmetry: Cmcm
* E_tot: -5.381 eV/atom

Cell and atoms, written as extended XYZ:
```
14
Lattice="1.8637 -6.5860 0.0000 1.8637 6.5860 0.0000 0.0000 0.0000 17.6849" Properties=species:S:1:pos:R:3 pbc="T T T"
Y 1.8637 -1.1238 10.8996
Y 1.8637 1.1238 2.0572
Y 1.8637 1.1238 6.7853
Y 1.8637 -1.1238 15.6277
Y 1.8637 5.7798 4.4212
Y 1.8637 -5.7798 13.2637
Ga 0.0000 0.0000 8.8425
Ga 0.0000 0.0000 0.0000
Nd 1.8637 2.3032 10.1706
Nd 1.8637 -3.7337 4.4212
Nd 1.8637 2.3032 16.3567
Nd 1.8637 3.7337 13.2637
Nd 1.8637 -2.3032 1.3282
Nd 1.8637 -2.3032 7.5143
```